The following is a DFT calculation (PBE+U) of an optimized crystal structure of ScZnNiO4.

The crystal system is orthorhombic. The value obtained for the density of states at the Fermi level is 0.148 states/eV/atom. Its energy is -43.33 eV/f.u.

Cell lengths 6.0215, 6.0215, 6.0215 Å; angles 119.21, 117.67, 92.73 degrees
Fractional positions:
1 Sc 0.0000 0.0000 0.0000
2 Sc 0.5000 0.0000 0.5000
3 Zn 0.3680 0.6180 0.7500
4 Zn 0.6320 0.3820 0.2500
5 Ni 0.0000 0.0000 0.5000
6 Ni 0.0000 0.5000 0.0000
7 O 0.2253 0.7486 0.4768
8 O 0.2282 0.2514 0.9768
9 O 0.2338 0.2150 0.4812
10 O 0.2338 0.7526 0.0188
11 O 0.7662 0.2474 0.9812
12 O 0.7662 0.7850 0.5188
13 O 0.7718 0.7486 0.0232
14 O 0.7747 0.2514 0.5232